1.
First-principles (PBE-GGA) data for Cs2OsBr6O after structural relaxation, as listed in Alexandria.

For the density, the calculation gives 4.78 Mg/m³. As for the raw formation energy: -0.573 eV per atom. As for the uncorrected energy: -3.366 eV/atom. The magnetic moment comes out at 4.00 μB per formula unit.

a b c (Å): 7.871 7.871 7.871
angles (deg): 122.57 122.57 85.61
Fractional coordinates of all 10 atoms:
Cs (0.250, 0.750, 0.500)
Cs (0.750, 0.250, 0.500)
Os (0.000, 0.000, 0.000)
Br (0.218, 0.218, 0.000)
Br (0.235, 0.235, 0.471)
Br (0.235, 0.765, 0.000)
Br (0.765, 0.235, 0.000)
Br (0.765, 0.765, 0.529)
Br (0.782, 0.782, 0.000)
O (0.500, 0.500, 0.000)

---

2.
First-principles (PBE-GGA) data for Ti3PRu after structural relaxation, as listed in Alexandria.

For the density, the calculation gives 5.17 Mg/m³. Its energy relative to the lowest polymorph listed for this composition is 0.000 eV/atom. The value obtained for the formation energy is 15 meV/atom. As for the uncorrected energy: -7.659 eV/atom. The magnetic moment comes out at 0.07 μB per formula unit.

a b c (Å): 4.457 4.457 4.457
angles (deg): 90.00 90.00 90.00
Fractional coordinates of all 5 atoms:
Ti (0.000, 0.000, 0.500)
Ti (0.000, 0.500, 0.000)
Ti (0.500, 0.000, 0.000)
P (0.000, 0.000, 0.000)
Ru (0.500, 0.500, 0.500)